# 1
Computed, not measured: Nd2InPd2 after structural relaxation at the GGA-PBEsol level of DFT.

- Space-group type: P4/mbm, No. 127
- Energy of formation from the pure elements: -77.2 kJ/mol of atoms
- E_tot: -58.5 eV/cell

```
data_Nd2InPd2
_space_group_name_H-M_alt 'P 1'
_space_group_IT_number 1
_space_group_name_Hall 'P 1'
_cell_length_a 3.837
_cell_length_b 7.709
_cell_length_c 7.709
_cell_angle_alpha 90.00
_cell_angle_beta 90.00
_cell_angle_gamma 90.00
loop_
_atom_site_label
_atom_site_type_symbol
_atom_site_fract_x
_atom_site_fract_y
_atom_site_fract_z
Nd1 Nd 0.500 0.675 0.175
In1 In 0.000 0.000 0.000
Nd2 Nd 0.500 0.825 0.675
Pd1 Pd 0.000 0.127 0.627
Pd2 Pd 0.000 0.373 0.127
In2 In 0.000 0.500 0.500
Pd3 Pd 0.000 0.627 0.873
Pd4 Pd 0.000 0.873 0.373
Nd3 Nd 0.500 0.325 0.825
Nd4 Nd 0.500 0.175 0.325
```

# 2
Computed, not measured: AuSe2Br after structural relaxation at the GGA-PBEsol level of DFT.

- E_form (uncorrected): -79 meV/atom
- Space-group type: P2/m, No. 10
- E_tot: -13.8 eV/cell

```
data_AuSe2Br
_space_group_name_H-M_alt 'P 1'
_space_group_IT_number 1
_space_group_name_Hall 'P 1'
_cell_length_a 3.790
_cell_length_b 4.367
_cell_length_c 6.210
_cell_angle_alpha 110.90
_cell_angle_beta 90.00
_cell_angle_gamma 90.00
loop_
_atom_site_label
_atom_site_type_symbol
_atom_site_fract_x
_atom_site_fract_y
_atom_site_fract_z
Se1 Se 0.000 0.241 0.344
Br1 Br 0.500 0.500 0.000
Au1 Au 0.500 0.000 0.500
Se2 Se 0.000 0.759 0.656
```

# 3
Computed, not measured: ScPbN2 after structural relaxation at the GGA-PBEsol level of DFT.

- E_form (uncorrected): -259 meV/atom
- Space-group type: R-3m, No. 166
- E_tot: -28.7 eV/cell

```
data_ScPbN2
_space_group_name_H-M_alt 'P 1'
_space_group_IT_number 1
_space_group_name_Hall 'P 1'
_cell_length_a 3.384
_cell_length_b 3.384
_cell_length_c 6.565
_cell_angle_alpha 75.06
_cell_angle_beta 75.06
_cell_angle_gamma 60.00
loop_
_atom_site_label
_atom_site_type_symbol
_atom_site_fract_x
_atom_site_fract_y
_atom_site_fract_z
Pb1 Pb 0.000 0.000 0.000
Sc1 Sc 0.500 0.500 0.500
N1 N 0.889 0.889 0.334
N2 N 0.111 0.111 0.666
```

# 4
Computed, not measured: FeCo after structural relaxation at the GGA-PBEsol level of DFT.

- Space-group type: I4_1/amd, No. 141
- Energy of formation from the pure elements: 3.1 kJ/mol of atoms
- E_tot: -66.5 eV/cell

```
data_FeCo
_space_group_name_H-M_alt 'P 1'
_space_group_IT_number 1
_space_group_name_Hall 'P 1'
_cell_length_a 4.834
_cell_length_b 4.834
_cell_length_c 4.834
_cell_angle_alpha 109.60
_cell_angle_beta 109.60
_cell_angle_gamma 109.22
loop_
_atom_site_label
_atom_site_type_symbol
_atom_site_fract_x
_atom_site_fract_y
_atom_site_fract_z
Fe1 Fe 0.625 0.375 0.750
Co1 Co 0.625 0.875 0.750
Fe2 Fe 0.625 0.875 0.250
Fe3 Fe 0.125 0.375 0.750
Co2 Co 0.125 0.875 0.750
Co3 Co 0.125 0.875 0.250
Fe4 Fe 0.625 0.375 0.250
Co4 Co 0.125 0.375 0.250
```

# 5
Computed, not measured: PdPt after structural relaxation at the GGA-PBEsol level of DFT.

- Space-group type: R-3m, No. 166
- Energy of formation from the pure elements: -4.0 kJ/mol of atoms
- E_tot: -13.0 eV/cell

```
data_PdPt
_space_group_name_H-M_alt 'P 1'
_space_group_IT_number 1
_space_group_name_Hall 'P 1'
_cell_length_a 2.741
_cell_length_b 2.741
_cell_length_c 4.780
_cell_angle_alpha 73.34
_cell_angle_beta 73.34
_cell_angle_gamma 60.00
loop_
_atom_site_label
_atom_site_type_symbol
_atom_site_fract_x
_atom_site_fract_y
_atom_site_fract_z
Pd1 Pd 0.500 0.500 0.500
Pt1 Pt 0.000 0.000 0.000
```

# 6
Computed, not measured: Rb3NaNb after structural relaxation at the GGA-PBEsol level of DFT.

- Space-group type: Pm-3m, No. 221
- Energy of formation from the pure elements: 107.6 kJ/mol of atoms
- Excess energy over the best structure of this formula in the dataset: 0.0 meV per atom
- E_tot: -9.7 eV/cell

```
data_Rb3NaNb
_space_group_name_H-M_alt 'P 1'
_space_group_IT_number 1
_space_group_name_Hall 'P 1'
_cell_length_a 6.996
_cell_length_b 6.996
_cell_length_c 6.996
_cell_angle_alpha 90.00
_cell_angle_beta 90.00
_cell_angle_gamma 90.00
loop_
_atom_site_label
_atom_site_type_symbol
_atom_site_fract_x
_atom_site_fract_y
_atom_site_fract_z
Rb1 Rb 0.000 0.500 0.000
Nb1 Nb 0.000 0.000 0.000
Rb2 Rb 0.500 0.000 0.000
Rb3 Rb 0.000 0.000 0.500
Na1 Na 0.500 0.500 0.500
```

# 7
Computed, not measured: NaZnBi after structural relaxation at the GGA-PBEsol level of DFT.

- Space-group type: P4/nmm, No. 129
- Energy of formation from the pure elements: -17.5 kJ/mol of atoms
- E_tot: -15.6 eV/cell

```
data_NaZnBi
_space_group_name_H-M_alt 'P 1'
_space_group_IT_number 1
_space_group_name_Hall 'P 1'
_cell_length_a 4.520
_cell_length_b 4.520
_cell_length_c 7.482
_cell_angle_alpha 90.00
_cell_angle_beta 90.00
_cell_angle_gamma 90.00
loop_
_atom_site_label
_atom_site_type_symbol
_atom_site_fract_x
_atom_site_fract_y
_atom_site_fract_z
Zn1 Zn 0.500 0.500 0.000
Bi1 Bi 0.500 0.000 0.230
Na1 Na 0.000 0.500 0.331
Na2 Na 0.500 0.000 0.669
Zn2 Zn 0.000 0.000 0.000
Bi2 Bi 0.000 0.500 0.770
```

# 8
Computed, not measured: SiAgO2 after structural relaxation at the GGA-PBEsol level of DFT.

- E_form (uncorrected): -1765 meV/atom
- Space-group type: R-3m, No. 166
- E_tot: -26.6 eV/cell

```
data_SiAgO2
_space_group_name_H-M_alt 'P 1'
_space_group_IT_number 1
_space_group_name_Hall 'P 1'
_cell_length_a 2.697
_cell_length_b 2.697
_cell_length_c 8.985
_cell_angle_alpha 81.37
_cell_angle_beta 81.37
_cell_angle_gamma 60.00
loop_
_atom_site_label
_atom_site_type_symbol
_atom_site_fract_x
_atom_site_fract_y
_atom_site_fract_z
O1 O 0.132 0.132 0.603
Si1 Si 0.500 0.500 0.500
Ag1 Ag 0.000 0.000 0.000
O2 O 0.868 0.868 0.397
```